Density functional theory data (PBE-GGA) for a relaxed Y2PbS4 crystal.

a b c (Å): 6.8340 6.8340 13.5682
angles (deg): 90.00 90.00 146.21
Closest atoms and distances in Å follow each position.
Sites, in units of the cell vectors:
Y  0.1357  0.8643  0.5674  6 S 2.71-2.82
Y  0.1357  0.8643  0.9326  6 S 2.71-2.82
Y  0.8643  0.1357  0.0674  6 S 2.71-2.82
Y  0.8643  0.1357  0.4326  6 S 2.71-2.82
Pb  0.3948  0.6052  0.7500  2 S 2.83
Pb  0.6052  0.3948  0.2500  2 S 2.83
S  0.0487  0.9513  0.7500  2 Y 2.73, 2 Pb 2.83
S  0.2315  0.7685  0.1130  3 Y 2.71-2.75
S  0.2315  0.7685  0.3870  3 Y 2.71-2.75
S  0.5000  0.5000  0.0000  4 Y 2.82
S  0.5000  0.5000  0.5000  4 Y 2.82
S  0.7685  0.2315  0.6130  3 Y 2.71-2.75
S  0.7685  0.2315  0.8870  3 Y 2.71-2.75
S  0.9513  0.0487  0.2500  2 Y 2.73, 2 Pb 2.83

Summary:
Space-group type: Cmcm
Relative energy among the computed polymorphs (meV per atom): 3
Crystal system: orthorhombic
Total DFT energy (no corrections) (eV per atom): -6.37

=====

Density functional theory data (PBE-GGA) for a relaxed Y3PbS crystal.

a b c (Å): 9.2189 6.6071 9.9876
angles (deg): 90.00 113.54 90.00
Closest atoms and distances in Å follow each position.
Sites, in units of the cell vectors:
Y  0.0485  0.0941  0.3398  3 S 2.68-2.74
Y  0.0485  0.4059  0.8398  3 S 2.68-2.74
Y  0.1968  0.5787  0.5384  2 S 2.67-2.70
Y  0.1968  0.9213  0.0384  2 S 2.67-2.70
Y  0.3854  0.1511  0.7971  1 S 2.73
Y  0.3854  0.3489  0.2971  1 S 2.73
Y  0.6146  0.6511  0.7029  1 S 2.73
Y  0.6146  0.8489  0.2029  1 S 2.73
Y  0.8032  0.0787  0.9616  2 S 2.67-2.70
Y  0.8032  0.4213  0.4616  2 S 2.67-2.70
Y  0.9515  0.5941  0.1602  3 S 2.68-2.74
Y  0.9515  0.9059  0.6602  3 S 2.68-2.74
Pb  0.3631  0.6742  0.8712  6 Y 3.12-3.40
Pb  0.3631  0.8258  0.3712  6 Y 3.12-3.40
Pb  0.6369  0.1742  0.6288  6 Y 3.12-3.40
Pb  0.6369  0.3258  0.1288  6 Y 3.12-3.40
S  0.0850  0.2371  0.6043  6 Y 2.67-2.74
S  0.0850  0.2629  0.1043  6 Y 2.67-2.74
S  0.9150  0.7371  0.8957  6 Y 2.67-2.74
S  0.9150  0.7629  0.3957  6 Y 2.67-2.74

Summary:
DOS at the Fermi energy (states/eV/atom): 0.93
Space-group type: P2_1/c
Relative energy among the computed polymorphs (meV per atom): 0
Crystal system: monoclinic
Total DFT energy (no corrections) (eV per atom): -6.42

=====

Density functional theory data (PBE-GGA) for a relaxed Y4PbS3 crystal.

a b c (Å): 7.1038 7.1038 3.9808
angles (deg): 90.00 90.00 108.88
Closest atoms and distances in Å follow each position.
Sites, in units of the cell vectors:
Y  0.2253  0.2253  0.5000  4 S 2.73-2.90, 2 Pb 3.02
Y  0.2401  0.7599  0.0000  5 S 2.78-2.87, 1 Pb 3.00
Y  0.7599  0.2401  0.0000  5 S 2.78-2.87, 1 Pb 3.00
Y  0.7747  0.7747  0.5000  4 S 2.73-2.90, 2 Pb 3.02
Pb  0.5000  0.5000  0.0000  6 Y 3.00-3.02
S  0.0000  0.0000  0.0000  6 Y 2.73-2.78
S  0.0000  0.5000  0.5000  6 Y 2.87-2.90
S  0.5000  0.0000  0.5000  6 Y 2.87-2.90

Summary:
DOS at the Fermi energy (states/eV/atom): 0.47
Space-group type: Cmmm
Crystal system: orthorhombic
Total DFT energy (no corrections) (eV per atom): -6.81

=====

Density functional theory data (PBE-GGA) for a relaxed Y2PbS4 crystal.

a b c (Å): 12.3151 3.9889 14.2939
angles (deg): 90.00 90.00 90.00
Closest atoms and distances in Å follow each position.
Sites, in units of the cell vectors:
Y  0.0620  0.2500  0.1150  6 S 2.72-2.78
Y  0.0874  0.2500  0.5945  6 S 2.72-2.81
Y  0.4126  0.7500  0.0945  6 S 2.72-2.81
Y  0.4380  0.7500  0.6150  6 S 2.72-2.78
Y  0.5620  0.2500  0.3850  6 S 2.72-2.78
Y  0.5874  0.2500  0.9055  6 S 2.72-2.81
Y  0.9126  0.7500  0.4055  6 S 2.72-2.81
Y  0.9380  0.7500  0.8850  6 S 2.72-2.78
Pb  0.2424  0.7500  0.8313  7 S 2.93-3.22
Pb  0.2576  0.2500  0.3313  7 S 2.93-3.22
Pb  0.7424  0.7500  0.6687  7 S 2.93-3.22
Pb  0.7576  0.2500  0.1687  7 S 2.93-3.22
S  0.0436  0.7500  0.7182  3 Y 2.72, 1 Pb 2.93
S  0.0879  0.2500  0.9259  3 Y 2.72-2.78
S  0.1245  0.7500  0.4660  3 Y 2.75
S  0.2024  0.7500  0.1709  3 Y 2.76-2.81
S  0.2976  0.2500  0.6709  3 Y 2.76-2.81
S  0.3755  0.2500  0.9660  3 Y 2.75
S  0.4121  0.7500  0.4259  3 Y 2.72-2.78
S  0.4564  0.2500  0.2182  3 Y 2.72, 1 Pb 2.93
S  0.5436  0.7500  0.7818  3 Y 2.72, 1 Pb 2.93
S  0.5879  0.2500  0.5741  3 Y 2.72-2.78
S  0.6245  0.7500  0.0340  3 Y 2.75
S  0.7024  0.7500  0.3291  3 Y 2.76-2.81
S  0.7976  0.2500  0.8291  3 Y 2.76-2.81
S  0.8755  0.2500  0.5340  3 Y 2.75
S  0.9121  0.7500  0.0741  3 Y 2.72-2.78
S  0.9564  0.2500  0.2818  3 Y 2.72, 1 Pb 2.93

Summary:
DOS at the Fermi energy (states/eV/atom): 0.00
Space-group type: Pnma
Relative energy among the computed polymorphs (meV per atom): 0
Crystal system: orthorhombic
Total DFT energy (no corrections) (eV per atom): -6.37

=====

Density functional theory data (PBE-GGA) for a relaxed YPb3S crystal.

a b c (Å): 5.4592 5.4592 5.4592
angles (deg): 90.00 90.00 90.00
Closest atoms and distances in Å follow each position.
Sites, in units of the cell vectors:
Y  0.0000  0.0000  0.0000  12 Pb 3.86
Pb  0.0000  0.5000  0.5000  2 S 2.73
Pb  0.5000  0.0000  0.5000  2 S 2.73
Pb  0.5000  0.5000  0.0000  2 S 2.73
S  0.5000  0.5000  0.5000  6 Pb 2.73

Summary:
DOS at the Fermi energy (states/eV/atom): 1.03
Space-group type: Pm-3m
Relative energy among the computed polymorphs (meV per atom): 0
Crystal system: cubic
Total DFT energy (no corrections) (eV per atom): -4.26

=====

Density functional theory data (PBE-GGA) for a relaxed YPb2S3 crystal.

a b c (Å): 7.9222 7.9222 3.8508
angles (deg): 103.88 103.88 42.81
Closest atoms and distances in Å follow each position.
Sites, in units of the cell vectors:
Y  0.0000  0.0000  0.0000  6 S 2.72-2.89
Pb  0.3374  0.3374  0.3382  4 S 2.92-3.02
Pb  0.6626  0.6626  0.6618  4 S 2.92-3.02
S  0.1345  0.1345  0.6329  2 Y 2.72, 2 Pb 2.92
S  0.5000  0.5000  0.0000  2 Y 2.89, 4 Pb 3.01-3.02
S  0.8655  0.8655  0.3671  2 Y 2.72, 2 Pb 2.92

Summary:
DOS at the Fermi energy (states/eV/atom): 0.29
Space-group type: C2/m
Crystal system: monoclinic
Total DFT energy (no corrections) (eV per atom): -5.40

=====

Density functional theory data (PBE-GGA) for a relaxed Y6PbS5 crystal.

a b c (Å): 6.9481 6.9481 6.9847
angles (deg): 99.59 99.59 119.98
Closest atoms and distances in Å follow each position.
Sites, in units of the cell vectors:
Y  0.0632  0.4123  0.7376  5 S 2.75-2.85, 1 Pb 2.98
Y  0.2373  0.2373  0.2598  5 S 2.72-2.85, 1 Pb 2.97
Y  0.4123  0.0632  0.7376  5 S 2.75-2.85, 1 Pb 2.98
Y  0.5877  0.9368  0.2624  5 S 2.75-2.85, 1 Pb 2.98
Y  0.7627  0.7627  0.7402  5 S 2.72-2.85, 1 Pb 2.97
Y  0.9368  0.5877  0.2624  5 S 2.75-2.85, 1 Pb 2.98
Pb  0.5000  0.5000  0.0000  6 Y 2.97-2.98
S  0.0000  0.0000  0.5000  6 Y 2.72-2.84
S  0.1681  0.8319  0.0000  6 Y 2.84-2.85
S  0.3390  0.6610  0.5000  6 Y 2.75-2.85
S  0.6610  0.3390  0.5000  6 Y 2.75-2.85
S  0.8319  0.1681  0.0000  6 Y 2.84-2.85

Summary:
DOS at the Fermi energy (states/eV/atom): 0.35
Space-group type: C2/m
Crystal system: monoclinic
Total DFT energy (no corrections) (eV per atom): -6.97

=====

Density functional theory data (PBE-GGA) for a relaxed YPb2S4 crystal.

a b c (Å): 8.0758 8.0758 8.0758
angles (deg): 141.69 141.69 55.30
Closest atoms and distances in Å follow each position.
Sites, in units of the cell vectors:
Y  0.0000  0.0000  0.0000  6 S 2.65-2.67
Pb  0.3721  0.3721  0.0000  1 S 2.65
Pb  0.6279  0.6279  0.0000  1 S 2.65
S  0.0000  0.5000  0.5000  2 Y 2.65
S  0.1867  0.1867  0.0000  1 Pb 2.65, 1 Y 2.67
S  0.5000  0.0000  0.5000  2 Y 2.65
S  0.8133  0.8133  0.0000  1 Pb 2.65, 1 Y 2.67

Summary:
DOS at the Fermi energy (states/eV/atom): 1.01
Space-group type: I4/mmm
Relative energy among the computed polymorphs (meV per atom): 200
Crystal system: tetragonal
Total DFT energy (no corrections) (eV per atom): -5.05

=====

Density functional theory data (PBE-GGA) for a relaxed Y5PbS4 crystal.

a b c (Å): 6.9659 6.9659 10.0294
angles (deg): 118.12 118.12 33.21
Closest atoms and distances in Å follow each position.
Sites, in units of the cell vectors:
Y  0.0000  0.0000  0.0000  6 S 2.80-2.84
Y  0.2057  0.2057  0.8187  5 S 2.76-2.83, 1 Pb 3.02
Y  0.3913  0.3913  0.6183  4 S 2.75-3.00, 2 Pb 3.03
Y  0.6087  0.6087  0.3817  4 S 2.75-3.00, 2 Pb 3.03
Y  0.7943  0.7943  0.1813  5 S 2.76-2.83, 1 Pb 3.02
Pb  0.0000  0.0000  0.5000  6 Y 3.02-3.03
S  0.2035  0.2035  0.2894  6 Y 2.75-3.00
S  0.4048  0.4048  0.1000  6 Y 2.76-2.83
S  0.5952  0.5952  0.9000  6 Y 2.76-2.83
S  0.7965  0.7965  0.7106  6 Y 2.75-3.00

Summary:
DOS at the Fermi energy (states/eV/atom): 0.47
Space-group type: C2/m
Crystal system: monoclinic
Total DFT energy (no corrections) (eV per atom): -6.91

=====

Density functional theory data (PBE-GGA) for a relaxed Y4Pb3S8 crystal.

a b c (Å): 8.1219 8.1219 8.0504
angles (deg): 119.55 119.55 90.03
Closest atoms and distances in Å follow each position.
Sites, in units of the cell vectors:
Y  0.0000  0.0000  0.0000  6 S 2.75-2.79
Y  0.0000  0.0000  0.5000  6 S 2.76-2.80
Y  0.0000  0.5000  0.0000  6 S 2.87-2.89
Y  0.5000  0.0000  0.0000  6 S 2.87-2.89
Pb  0.0000  0.5000  0.5000  6 S 2.87-2.89
Pb  0.5000  0.0000  0.5000  6 S 2.87-2.89
Pb  0.5000  0.5000  0.5000  6 S 2.97-2.99
S  0.2288  0.2288  0.4770  2 Y 2.75-2.76, 3 Pb 2.88-2.99
S  0.2359  0.2359  0.9854  4 Y 2.79-2.87, 1 Pb 2.97
S  0.2416  0.7584  0.5000  3 Y 2.78-2.89, 3 Pb 2.87-2.97
S  0.2427  0.7573  0.0000  3 Y 2.79-2.87, 2 Pb 2.89
S  0.7573  0.2427  0.0000  3 Y 2.79-2.87, 2 Pb 2.89
S  0.7584  0.2416  0.5000  3 Y 2.78-2.89, 3 Pb 2.87-2.97
S  0.7641  0.7641  0.0146  4 Y 2.79-2.87, 1 Pb 2.97
S  0.7712  0.7712  0.5230  2 Y 2.75-2.76, 3 Pb 2.88-2.99

Summary:
DOS at the Fermi energy (states/eV/atom): 0.37
Space-group type: C2/m
Crystal system: monoclinic
Total DFT energy (no corrections) (eV per atom): -6.03

=====

- Which value of total DFT energy (no corrections) does entry 9 give?
  -6.91 eV per atom

=====

- Among the records above, which one has the lowest total DFT energy (no corrections)?
  Y6PbS5

=====

- Look up the total DFT energy (no corrections) of the tenth one.
  -6.03 eV per atom